# 1
Mg2UBO6: relaxed, PBE.

Output
The calculation puts the energy at -7.3079 eV per atom. As for the crystal system: tetragonal. The value obtained for the uncorrected formation energy is -2.218 eV per atom. As for the space group: P4mm, No. 99.

Geometry as POSCAR:
```
Mg2UBO6
1.0
-0.9909 4.4299 0.3543
-4.1392 -1.1590 2.9142
2.9255 0.3122 4.2793
O U Mg B
6 1 2 1
Cartesian
-0.2876 1.2858 0.1028 O
0.6224 3.1945 4.2301 O
-3.2733 2.3833 3.4773 O
-1.6601 2.5554 5.8371 O
-0.7444 0.1914 3.6459 O
-0.9908 3.0224 1.8703 O
-1.2080 2.2638 3.8117 U
-3.0217 3.6770 1.7975 Mg
0.5106 4.4125 2.4801 Mg
-0.5835 2.6083 0.2086 B
```


# 2
Zn4C: relaxed, PBE.

Output
The calculation puts the energy at -1.7613 eV per atom. As for the crystal system: tetragonal. As for the space group: I4/mmm, No. 139. The energy of formation comes out at 1.10 eV per atom.

Geometry as POSCAR:
```
Zn4C
1.0
-1.6745 1.6745 6.6733
1.6745 -1.6745 6.6733
1.6745 1.6745 -6.6733
Zn C
4 1
Cartesian
0.0000 0.0000 7.8567 Zn
0.0000 0.0000 5.4898 Zn
1.6745 0.0000 3.3366 Zn
0.0000 1.6745 3.3366 Zn
0.0000 0.0000 0.0000 C
```


# 3
LiCa2Co: relaxed, PBE.

Output
The calculation puts the energy at -3.0153 eV per atom. As for the crystal system: monoclinic. As for the space group: Pm, No. 6. The energy of formation comes out at 0.24 eV per atom.

Geometry as POSCAR:
```
LiCa2Co
1.0
-1.9510 -3.2310 -2.0988
2.0453 -2.7290 2.2998
-3.0715 -1.3095 4.8709
Ca Li Co
2 1 1
Cartesian
-0.8061 -3.8724 6.7104 Ca
-1.4945 -2.7909 1.2426 Ca
-2.0895 -4.1330 3.8616 Li
-0.1261 -2.5309 4.0133 Co
```


# 4
Ba2CdTeRh: relaxed, PBE.

Output
The calculation puts the energy at -3.7446 eV per atom. As for the crystal system: tetragonal. The value obtained for the uncorrected formation energy is -0.694 eV per atom. As for the space group: P4/mmm, No. 123.

Geometry as POSCAR:
```
Ba2CdTeRh
1.0
-0.3879 -5.5197 2.1829
0.0493 -2.1904 -5.5301
5.1402 -0.2967 0.1633
Ba Te Rh Cd
2 1 1 1
Cartesian
0.0247 -1.0952 -2.7651 Ba
-0.1940 -2.7599 1.0914 Ba
2.4008 -4.0034 -1.5920 Te
0.0000 0.0000 0.0000 Rh
2.5701 -0.1483 0.0817 Cd
```


# 5
SmDyIrPb: relaxed, PBE.

Output
The calculation puts the energy at -6.1191 eV per atom. As for the crystal system: tetragonal. As for the space group: P4mm, No. 99. The energy of formation comes out at -0.65 eV per atom. As for the energy relative to the lowest polymorph listed for this composition: 0 meV/atom.

Geometry as POSCAR:
```
SmDyIrPb
1.0
3.5258 0.0000 0.0000
0.0000 3.5258 0.0000
0.0000 0.0000 8.0983
Pb Sm Ir Dy
1 1 1 1
Cartesian
0.0000 0.0000 0.6320 Pb
1.7629 1.7629 6.2905 Sm
0.0000 0.0000 4.5584 Ir
1.7629 1.7629 2.9721 Dy
```


# 6
Na4ZrIn3O8: relaxed, PBE.

Output
The calculation puts the energy at -5.7011 eV per atom. As for the crystal system: trigonal. The value obtained for the uncorrected formation energy is -1.845 eV per atom. As for the space group: R-3m, No. 166.

Geometry as POSCAR:
```
Na4ZrIn3O8
1.0
-6.2999 -0.3804 2.1208
1.4553 -5.7512 3.2914
3.6001 5.4656 1.2231
O Na Zr In
8 4 1 3
Cartesian
1.2426 -1.6870 3.3886 O
-2.4871 1.0210 3.2467 O
3.1402 1.1939 4.0333 O
0.6682 1.0989 2.1819 O
-0.1805 0.9933 5.1511 O
-1.9127 -1.7649 4.4534 O
-4.3847 -1.8598 2.6020 O
-1.0641 -1.6593 1.4842 O
-1.3499 2.5426 1.6719 Na
-3.1500 -0.1902 1.0604 Na
1.8001 2.7328 0.6116 Na
0.0000 0.0000 0.0000 Na
0.7276 -2.8756 1.6457 Zr
2.5277 -0.1428 2.2573 In
-2.4223 -3.0658 2.7061 In
-0.6223 -0.3330 3.3177 In
```